Entry 1:
# Si2Pb5Au5

An optimized crystal structure of Si2Pb5Au5 (PBE-GGA, the Alexandria database).

ΔE_f (raw) (eV/atom): -0.024

Cell and atoms, written as CIF:
```
data_Si2Pb5Au5
_chemical_formula_sum 'Si4 Pb10 Au10'
_space_group_name_H-M_alt 'C 1 2/m 1'
_space_group_IT_number 12
_cell_length_a 13.299
_cell_length_b 4.247
_cell_length_c 10.887
_cell_angle_alpha 90.00
_cell_angle_beta 103.78
_cell_angle_gamma 90.00
loop_
_space_group_symop_operation_xyz
'x,y,z'
'-x,-y,-z'
'-x,y,-z'
'x,-y,z'
'x+1/2,y+1/2,z'
'-x+1/2,-y+1/2,-z'
'-x+1/2,y+1/2,-z'
'x+1/2,-y+1/2,z'
loop_
_atom_site_label
_atom_site_fract_x
_atom_site_fract_y
_atom_site_fract_z
Si1 0.063 0.000 0.304
Pb1 0.000 0.500 0.000
Pb2 0.162 0.500 0.558
Pb3 0.235 0.000 0.124
Au1 0.000 0.000 0.500
Au2 0.099 0.000 0.859
Au3 0.153 0.500 0.277
```

***

Entry 2:
# LaNi2SbN

An optimized crystal structure of LaNi2SbN (PBE-GGA, the Alexandria database).

ΔE_f (raw) (eV/atom): -0.663

Cell and atoms, written as CIF:
```
data_LaNi2SbN
_chemical_formula_sum 'La4 Ni8 Sb4 N4'
_space_group_name_H-M_alt 'C m c m'
_space_group_IT_number 63
_space_group_name_Hall '-C 2c 2'
_cell_length_a 3.785
_cell_length_b 12.250
_cell_length_c 7.120
_cell_angle_alpha 90.00
_cell_angle_beta 90.00
_cell_angle_gamma 90.00
loop_
_atom_site_label
_atom_site_fract_x
_atom_site_fract_y
_atom_site_fract_z
La1 0.000 0.034 0.250
Ni1 0.000 0.349 0.052
Sb1 0.000 0.235 0.750
N1 0.000 0.500 0.000
```

***

Entry 3:
# TlCuSb2

An optimized crystal structure of TlCuSb2 (PBE-GGA, the Alexandria database).

Distance to the lowest polymorph of the same formula (meV/atom): 138
ΔE_f (raw) (eV/atom): 0.194

Cell and atoms, written as CIF:
```
data_TlCuSb2
_chemical_formula_sum 'Tl1 Cu1 Sb2'
_space_group_name_H-M_alt 'P 1 m 1'
_space_group_IT_number 6
_cell_length_a 3.156
_cell_length_b 4.014
_cell_length_c 8.008
_cell_angle_alpha 90.00
_cell_angle_beta 91.51
_cell_angle_gamma 90.00
loop_
_space_group_symop_operation_xyz
'x,y,z'
'x,-y,z'
loop_
_atom_site_label
_atom_site_fract_x
_atom_site_fract_y
_atom_site_fract_z
Tl1 0.000 0.000 0.000
Cu1 0.503 0.500 0.188
Sb1 0.540 0.000 0.414
Sb2 0.551 0.500 0.695
```

***

Entry 4:
# Zr7Ge2C2

An optimized crystal structure of Zr7Ge2C2 (PBE-GGA, the Alexandria database).

E_form (kJ/mol of atoms): -15

Cell and atoms, written as CIF:
```
data_Zr7Ge2C2
_chemical_formula_sum 'Zr14 Ge4 C4'
_space_group_name_H-M_alt 'C 1 2/m 1'
_space_group_IT_number 12
_cell_length_a 7.139
_cell_length_b 10.555
_cell_length_c 6.607
_cell_angle_alpha 90.00
_cell_angle_beta 100.33
_cell_angle_gamma 90.00
loop_
_space_group_symop_operation_xyz
'x,y,z'
'-x,-y,-z'
'-x,y,-z'
'x,-y,z'
'x+1/2,y+1/2,z'
'-x+1/2,-y+1/2,-z'
'-x+1/2,y+1/2,-z'
'x+1/2,-y+1/2,z'
loop_
_atom_site_label
_atom_site_fract_x
_atom_site_fract_y
_atom_site_fract_z
Zr1 0.000 0.000 0.000
Zr2 0.085 0.500 0.791
Zr3 0.218 0.295 0.207
Ge1 0.000 0.305 0.500
C1 0.215 0.500 0.129
```

***

Entry 5:
# Sc2Os2Rh

An optimized crystal structure of Sc2Os2Rh (PBE-GGA, the Alexandria database).

E_form (kJ/mol of atoms): -21

Cell and atoms, written as CIF:
```
data_Sc2Os2Rh
_chemical_formula_sum 'Sc4 Os4 Rh2'
_space_group_name_H-M_alt 'P 4/m b m'
_space_group_IT_number 127
_space_group_name_Hall '-P 4 2ab'
_cell_length_a 6.611
_cell_length_b 6.611
_cell_length_c 4.126
_cell_angle_alpha 90.00
_cell_angle_beta 90.00
_cell_angle_gamma 90.00
loop_
_atom_site_label
_atom_site_fract_x
_atom_site_fract_y
_atom_site_fract_z
Sc1 0.180 0.320 0.000
Os1 0.126 0.626 0.500
Rh1 0.000 0.000 0.500
```

***

Entry 6:
# RbAs

An optimized crystal structure of RbAs (PBE-GGA, the Alexandria database).

E_form (kJ/mol of atoms): -42
Distance to the lowest polymorph of the same formula (meV/atom): 0

Cell and atoms, written as CIF:
```
data_RbAs
_chemical_formula_sum 'Rb8 As8'
_space_group_name_H-M_alt 'P 21 21 21'
_space_group_IT_number 19
_cell_length_a 6.728
_cell_length_b 7.072
_cell_length_c 12.244
_cell_angle_alpha 90.00
_cell_angle_beta 90.00
_cell_angle_gamma 90.00
loop_
_space_group_symop_operation_xyz
'x,y,z'
'-x+1/2,-y,z+1/2'
'x+1/2,-y+1/2,-z'
'-x,y+1/2,-z+1/2'
loop_
_atom_site_label
_atom_site_fract_x
_atom_site_fract_y
_atom_site_fract_z
Rb1 0.099 0.109 0.418
Rb2 0.168 0.354 0.787
As1 0.091 0.574 0.531
As2 0.169 0.185 0.106
```

***

What is the formula in the second record?
LaNi2SbN